Here is a geometry-optimized Ce2PuTh structure from Alexandria via LeMat-Bulk. Energies are from PBE-GGA.

The magnetic moment comes out at 1.356 μB/atom. For the energy relative to the elements, the calculation gives 0.08 eV/atom. For the energy above the most stable polymorph in this dataset, the calculation gives 0.031 eV/atom. The value obtained for the energy is -8.32 eV per atom.

Structure (CIF):
```
data_Ce2PuTh
_cell_length_a 3.4042
_cell_length_b 3.4042
_cell_length_c 9.4736
_cell_angle_alpha 90.00
_cell_angle_beta 90.00
_cell_angle_gamma 90.00
_symmetry_space_group_name_H-M 'P 4/m m m'
_symmetry_Int_Tables_number 123
_symmetry_space_group_name_Hall '-P 4 2'
loop_
_atom_site_label
_atom_site_type_symbol
_atom_site_fract_x
_atom_site_fract_y
_atom_site_fract_z
_atom_site_occupancy
Ce1 Ce 0.0000 0.0000 0.2383 1
Pu1 Pu 0.5000 0.5000 0.0000 1
Th1 Th 0.5000 0.5000 0.5000 1
```